# K3Na3RhCl8, optimized geometry, DFT PBE
# formation energy (no corrections) = -1.55 eV/atom
data_K3Na3RhCl8
_chemical_formula_sum 'K3 Na3 Rh1 Cl8'
_space_group_name_H-M_alt 'P 1'
_space_group_IT_number 1
_space_group_name_Hall 'P 1'
_cell_length_a 8.285
_cell_length_b 8.285
_cell_length_c 8.570
_cell_angle_alpha 119.11
_cell_angle_beta 119.11
_cell_angle_gamma 59.10
loop_
_atom_site_label
_atom_site_fract_x
_atom_site_fract_y
_atom_site_fract_z
K1 0.000 0.000 0.000
K2 0.000 0.500 0.000
K3 0.500 0.000 0.000
Na1 0.000 0.500 0.500
Na2 0.500 0.000 0.500
Na3 0.500 0.500 0.500
Rh1 0.000 0.000 0.500
Cl1 0.204 0.780 0.689
Cl2 0.220 0.796 0.311
Cl3 0.239 0.239 0.718
Cl4 0.260 0.260 0.279
Cl5 0.740 0.740 0.721
Cl6 0.761 0.761 0.282
Cl7 0.780 0.204 0.689
Cl8 0.796 0.220 0.311

---

# K2NaRuCl6, optimized geometry, DFT PBE
# formation energy (no corrections) = -1.32 eV/atom
# DOS(E_F) = 8.7 states/eV/f.u.
data_K2NaRuCl6
_chemical_formula_sum 'K4 Na2 Ru2 Cl12'
_space_group_name_H-M_alt 'P 1'
_space_group_IT_number 1
_space_group_name_Hall 'P 1'
_cell_length_a 7.212
_cell_length_b 10.193
_cell_length_c 7.204
_cell_angle_alpha 90.00
_cell_angle_beta 90.00
_cell_angle_gamma 90.00
loop_
_atom_site_label
_atom_site_fract_x
_atom_site_fract_y
_atom_site_fract_z
K1 0.250 0.000 0.250
K2 0.250 0.500 0.250
K3 0.750 0.000 0.750
K4 0.750 0.500 0.750
Na1 0.250 0.250 0.750
Na2 0.750 0.750 0.250
Ru1 0.250 0.750 0.749
Ru2 0.750 0.250 0.251
Cl1 0.017 0.750 0.516
Cl2 0.017 0.750 0.983
Cl3 0.250 0.517 0.750
Cl4 0.250 0.983 0.750
Cl5 0.483 0.750 0.516
Cl6 0.483 0.750 0.983
Cl7 0.517 0.250 0.017
Cl8 0.517 0.250 0.484
Cl9 0.750 0.017 0.250
Cl10 0.750 0.483 0.250
Cl11 0.983 0.250 0.017
Cl12 0.983 0.250 0.484

---

# KNa2RuCl6, optimized geometry, DFT PBE
# formation energy (no corrections) = -1.28 eV/atom
# DOS(E_F) = 10.3 states/eV/f.u.
data_KNa2RuCl6
_chemical_formula_sum 'K1 Na2 Ru1 Cl6'
_space_group_name_H-M_alt 'P 1'
_space_group_IT_number 1
_space_group_name_Hall 'P 1'
_cell_length_a 6.989
_cell_length_b 6.994
_cell_length_c 7.464
_cell_angle_alpha 90.04
_cell_angle_beta 117.90
_cell_angle_gamma 119.96
loop_
_atom_site_label
_atom_site_fract_x
_atom_site_fract_y
_atom_site_fract_z
K1 0.000 0.000 0.000
Na1 0.577 0.289 0.865
Na2 0.610 0.806 0.415
Ru1 0.968 0.484 0.452
Cl1 0.097 0.428 0.223
Cl2 0.104 0.267 0.667
Cl3 0.400 0.838 0.667
Cl4 0.555 0.127 0.223
Cl5 0.796 0.669 0.223
Cl6 0.828 0.562 0.666

---

# KNaS2Cl, optimized geometry, DFT PBE
# formation energy (no corrections) = 0.03 eV/atom
# DOS(E_F) = 5.2 states/eV/f.u.
# polymorph energy (0 for the lowest one) = 0.323 eV per atom
data_KNaS2Cl
_chemical_formula_sum 'K1 Na1 S2 Cl1'
_space_group_name_H-M_alt 'P 1'
_space_group_IT_number 1
_space_group_name_Hall 'P 1'
_cell_length_a 5.895
_cell_length_b 5.895
_cell_length_c 5.813
_cell_angle_alpha 90.00
_cell_angle_beta 90.00
_cell_angle_gamma 90.00
loop_
_atom_site_label
_atom_site_fract_x
_atom_site_fract_y
_atom_site_fract_z
K1 0.000 0.000 0.000
Na1 0.500 0.500 0.500
S1 0.000 0.500 0.000
S2 0.500 0.000 0.000
Cl1 0.000 0.000 0.500

---

# KNaS2Cl, optimized geometry, DFT PBE
# formation energy (no corrections) = -0.30 eV/atom
# DOS(E_F) = 3.6 states/eV/f.u.
# polymorph energy (0 for the lowest one) = 0.000 eV per atom
data_KNaS2Cl
_chemical_formula_sum 'K1 Na1 S2 Cl1'
_space_group_name_H-M_alt 'P 1'
_space_group_IT_number 1
_space_group_name_Hall 'P 1'
_cell_length_a 5.304
_cell_length_b 5.304
_cell_length_c 5.401
_cell_angle_alpha 90.00
_cell_angle_beta 90.00
_cell_angle_gamma 90.00
loop_
_atom_site_label
_atom_site_fract_x
_atom_site_fract_y
_atom_site_fract_z
K1 0.000 0.000 0.000
Na1 0.500 0.500 0.500
S1 0.000 0.500 0.500
S2 0.500 0.000 0.500
Cl1 0.500 0.500 0.000

---

# KNa2SbCl8, optimized geometry, DFT PBE
# formation energy (no corrections) = -1.22 eV/atom
data_KNa2SbCl8
_chemical_formula_sum 'K1 Na2 Sb1 Cl8'
_space_group_name_H-M_alt 'P 1'
_space_group_IT_number 1
_space_group_name_Hall 'P 1'
_cell_length_a 6.357
_cell_length_b 6.931
_cell_length_c 9.167
_cell_angle_alpha 106.71
_cell_angle_beta 96.14
_cell_angle_gamma 95.00
loop_
_atom_site_label
_atom_site_fract_x
_atom_site_fract_y
_atom_site_fract_z
K1 0.000 0.000 0.000
Na1 0.466 0.323 0.806
Na2 0.534 0.677 0.194
Sb1 0.000 0.000 0.500
Cl1 0.106 0.761 0.272
Cl2 0.242 0.887 0.670
Cl3 0.275 0.260 0.496
Cl4 0.432 0.278 0.082
Cl5 0.568 0.722 0.918
Cl6 0.725 0.740 0.504
Cl7 0.758 0.113 0.330
Cl8 0.894 0.239 0.728

---

# K2NaSbCl8, optimized geometry, DFT PBE
# formation energy (no corrections) = -1.24 eV/atom
data_K2NaSbCl8
_chemical_formula_sum 'K2 Na1 Sb1 Cl8'
_space_group_name_H-M_alt 'P 1'
_space_group_IT_number 1
_space_group_name_Hall 'P 1'
_cell_length_a 6.600
_cell_length_b 6.928
_cell_length_c 9.403
_cell_angle_alpha 90.41
_cell_angle_beta 90.38
_cell_angle_gamma 95.29
loop_
_atom_site_label
_atom_site_fract_x
_atom_site_fract_y
_atom_site_fract_z
K1 0.015 0.005 0.233
K2 0.985 0.995 0.767
Na1 0.500 0.500 0.000
Sb1 0.500 0.500 0.500
Cl1 0.227 0.212 0.994
Cl2 0.277 0.607 0.318
Cl3 0.293 0.623 0.684
Cl4 0.297 0.189 0.508
Cl5 0.703 0.811 0.492
Cl6 0.707 0.377 0.316
Cl7 0.723 0.393 0.682
Cl8 0.773 0.788 0.006

---

# KNaScCl5, optimized geometry, DFT PBE
# formation energy (no corrections) = -1.99 eV/atom
# DOS(E_F) = 0.0 states/eV/f.u.
data_KNaScCl5
_chemical_formula_sum 'K2 Na2 Sc2 Cl10'
_space_group_name_H-M_alt 'P 1'
_space_group_IT_number 1
_space_group_name_Hall 'P 1'
_cell_length_a 7.553
_cell_length_b 7.553
_cell_length_c 9.769
_cell_angle_alpha 100.90
_cell_angle_beta 100.90
_cell_angle_gamma 112.51
loop_
_atom_site_label
_atom_site_fract_x
_atom_site_fract_y
_atom_site_fract_z
K1 0.160 0.840 0.750
K2 0.840 0.160 0.250
Na1 0.186 0.814 0.250
Na2 0.814 0.186 0.750
Sc1 0.500 0.500 0.000
Sc2 0.500 0.500 0.500
Cl1 0.147 0.249 0.944
Cl2 0.217 0.584 0.417
Cl3 0.249 0.147 0.444
Cl4 0.416 0.783 0.083
Cl5 0.437 0.563 0.750
Cl6 0.563 0.437 0.250
Cl7 0.584 0.217 0.917
Cl8 0.751 0.853 0.556
Cl9 0.783 0.416 0.583
Cl10 0.853 0.751 0.056